An optimized crystal structure of Pr5Ho4In4, computed with PBE.

Summary:
Crystal system: tetragonal
Fermi-level density of states in states/eV per atom: 1.17
DFT formation energy in eV/atom: -0.305

a = 5.0914 Å, b = 9.2879 Å, c = 9.2879 Å
α = 85.69°, β = 74.09°, γ = 74.09°
Sites, in units of the cell vectors:
Pr (0.0000, 0.0000, 0.0000)
Pr (0.3987, 0.2949, 0.9077)
Pr (0.6013, 0.7051, 0.0923)
Pr (0.6936, 0.9077, 0.7051)
Pr (0.3064, 0.0923, 0.2949)
Ho (0.9057, 0.4918, 0.6969)
Ho (0.6025, 0.3031, 0.4918)
Ho (0.3975, 0.6969, 0.5082)
Ho (0.0943, 0.5082, 0.3031)
In (0.9013, 0.8592, 0.3383)
In (0.7604, 0.3383, 0.1408)
In (0.0987, 0.1408, 0.6617)
In (0.2396, 0.6617, 0.8592)